Record 1
First-principles (PBE) data for a relaxed Nd8Sb2Ir3 crystal, as listed in the Alexandria database.

Space-group type: C2/m (12)
M_tot, μB/f.u.: 0.0
Uncorrected formation energy, eV/atom: -0.615

```
13
Lattice="7.087 0.000 0.265 0.000 8.257 0.000 -2.573 -4.129 7.691" Properties=species:S:1:pos:R:3 pbc="T T T"
Nd 2.270 1.973 1.743
Sb 3.455 4.129 3.902
Ir 3.543 0.000 0.133
Ir 0.000 6.172 0.000
Ir 0.000 2.085 0.000
Nd 2.244 -2.156 6.214
Nd -1.303 0.000 6.269
Sb 1.060 0.000 4.054
Nd 5.817 4.129 1.688
Nd 2.244 2.156 6.214
Nd -1.384 4.129 6.177
Nd 2.270 6.285 1.743
Nd 5.898 0.000 1.780
```

---

Record 2
First-principles (PBE) data for a relaxed DyHfAgAu crystal, as listed in the Alexandria database.

Energy relative to the elements, meV per atom: -303.7
Space-group type: F-43m (216)
M_tot, μB/f.u.: 0.0

```
4
Lattice="-4.216 2.468 0.843 -4.061 -1.056 -2.641 -3.829 -2.298 2.153" Properties=species:S:1:pos:R:3 pbc="T T T"
Dy -9.079 -0.665 0.267
Au -6.053 -0.443 0.178
Hf -3.026 -0.222 0.089
Ag 0.000 0.000 0.000
```

---

Record 3
First-principles (PBE) data for a relaxed CsAuI2Cl crystal, as listed in the Alexandria database.

Space-group type: P4/mmm (123)
M_tot, μB/f.u.: 0.0
Uncorrected formation energy, eV/atom: -0.744

```
5
Lattice="5.763 0.000 0.000 0.000 5.763 0.000 0.000 0.000 5.416" Properties=species:S:1:pos:R:3 pbc="T T T"
I 2.882 0.000 0.000
Cs 2.882 2.882 2.708
Cl 0.000 0.000 2.708
I 0.000 2.882 0.000
Au 0.000 0.000 0.000
```

---

Record 4
First-principles (PBE) data for a relaxed Ac2NdEr crystal, as listed in the Alexandria database.

Energy relative to the elements, meV per atom: 46.2
Space-group type: P4/mmm (123)
M_tot, μB/f.u.: 0.0
Energy above the most stable polymorph in this dataset, eV per atom: 0.006

```
4
Lattice="-1.412 -2.869 -2.197 3.313 -0.086 -2.017 3.797 -6.868 6.528" Properties=species:S:1:pos:R:3 pbc="T T T"
Nd 2.849 -4.911 1.157
Ac 2.872 -5.194 4.937
Er 0.951 -1.478 -2.107
Ac 0.925 -1.673 1.591
```

---

Record 5
First-principles (PBE) data for a relaxed Ca3Tb2NpN6 crystal, as listed in the Alexandria database.

Space-group type: C2/m (12)
M_tot, μB/f.u.: 1.0
Uncorrected formation energy, eV/atom: -1.356

```
12
Lattice="-4.753 2.104 -3.056 2.944 -4.875 -1.983 -2.849 -2.409 4.764" Properties=species:S:1:pos:R:3 pbc="T T T"
Np 0.000 0.000 0.000
N -4.799 -2.951 -0.350
Tb -2.190 -0.220 -2.699
Ca 0.249 -4.928 0.222
N -1.999 -2.643 -2.852
Ca -4.908 -0.252 -0.497
N -2.218 -0.090 -0.254
N 0.140 -2.229 0.075
Tb 0.380 -2.551 -2.340
Ca -2.329 -2.590 -0.138
N -2.440 -5.089 -0.021
N -2.660 -2.537 2.576
```

---

Record 6
First-principles (PBE) data for a relaxed LiTcTe2C crystal, as listed in the Alexandria database.

Space-group type: P4/mmm (123)
M_tot, μB/f.u.: 0.0
Uncorrected formation energy, eV/atom: 0.604

```
5
Lattice="4.983 0.000 0.000 0.000 3.927 0.000 0.000 0.000 4.983" Properties=species:S:1:pos:R:3 pbc="T T T"
Tc 0.000 1.964 0.000
Te 0.000 0.000 2.492
Li 2.492 1.964 2.492
Te 2.492 0.000 0.000
C 0.000 0.000 0.000
```

---

Record 7
First-principles (PBE) data for a relaxed Fe8Re3Ir crystal, as listed in the Alexandria database.

Energy relative to the elements, meV per atom: 0.3
Space-group type: P3m1 (156)
M_tot, μB/f.u.: 10.7

```
12
Lattice="4.666 0.000 0.000 -2.333 4.041 0.000 0.000 0.000 7.605" Properties=species:S:1:pos:R:3 pbc="T T T"
Fe 0.000 2.694 0.026
Fe 1.193 3.383 1.900
Fe 3.478 2.008 5.709
Re 0.000 0.000 7.130
Ir 0.000 0.000 4.269
Fe 2.333 0.024 5.709
Re 2.333 1.347 3.294
Fe 0.000 2.694 3.795
Fe -1.193 3.383 1.900
Fe 1.188 2.008 5.709
Re 2.333 1.347 0.484
Fe 0.000 1.316 1.900
```

---

Record 8
First-principles (PBE) data for a relaxed Np2I8F crystal, as listed in the Alexandria database.

Space-group type: C2/m (12)
M_tot, μB/f.u.: 5.0
Uncorrected formation energy, eV/atom: -0.944

```
11
Lattice="5.950 0.490 1.226 1.430 9.789 4.151 0.908 -0.214 10.688" Properties=species:S:1:pos:R:3 pbc="T T T"
Np 5.467 1.714 3.060
I 5.774 8.653 13.703
I 4.860 3.283 5.412
I 2.514 1.412 2.362
I 3.428 6.783 10.653
I 1.513 0.990 7.296
I 1.783 6.164 3.915
I 6.775 9.075 8.768
F 0.000 0.000 0.000
I 6.505 3.902 12.149
Np 2.821 8.351 13.005
```

---

Record 9
First-principles (PBE) data for a relaxed NaZnCdIr crystal, as listed in the Alexandria database.

Energy relative to the elements, meV per atom: 56.0
Space-group type: F-43m (216)
M_tot, μB/f.u.: 0.0

```
4
Lattice="-2.089 -2.565 3.204 2.468 -2.876 2.616 0.640 0.924 4.466" Properties=species:S:1:pos:R:3 pbc="T T T"
Cd 0.764 -3.388 7.714
Zn 0.255 -1.129 2.571
Ir 0.509 -2.259 5.143
Na 0.000 0.000 0.000
```

---

Record 10
First-principles (PBE) data for a relaxed Li2HAu crystal, as listed in the Alexandria database.

Space-group type: R-3m (166)
M_tot, μB/f.u.: 0.0
Energy above the most stable polymorph in this dataset, eV per atom: 0.022

```
4
Lattice="2.866 0.000 0.000 1.433 2.482 0.000 1.433 0.827 6.851" Properties=species:S:1:pos:R:3 pbc="T T T"
Au 0.000 0.000 0.000
H 2.866 1.655 3.425
Li 1.433 0.827 2.253
Li 4.299 2.482 4.598
```

---

Record 11
First-principles (PBE) data for a relaxed Ca4Ac3Ga4 crystal, as listed in the Alexandria database.

Energy relative to the elements, meV per atom: -337.0
Space-group type: Immm (71)
M_tot, μB/f.u.: 0.0

```
11
Lattice="5.197 0.000 0.000 0.000 7.847 0.000 -2.599 -3.923 8.508" Properties=species:S:1:pos:R:3 pbc="T T T"
Ac 2.599 3.923 6.715
Ca 2.599 5.610 3.015
Ac 0.000 3.923 0.000
Ca 0.000 1.687 5.493
Ac 0.000 0.000 1.792
Ga 0.000 3.923 3.421
Ga 2.599 1.365 0.000
Ga 2.599 0.000 5.087
Ga 2.599 6.482 0.000
Ca 2.599 2.236 3.015
Ca 0.000 -1.687 5.493
```

---

Record 12
First-principles (PBE) data for a relaxed TaPd3S crystal, as listed in the Alexandria database.

Space-group type: Pm-3m (221)
M_tot, μB/f.u.: 2.4
Uncorrected formation energy, eV/atom: 0.411
Energy above the most stable polymorph in this dataset, eV per atom: 0.000

```
5
Lattice="4.469 0.000 0.000 0.000 4.469 0.000 0.000 0.000 4.469" Properties=species:S:1:pos:R:3 pbc="T T T"
S 0.000 0.000 0.000
Pd 0.000 2.235 0.000
Pd 2.235 0.000 0.000
Pd 0.000 0.000 2.235
Ta 2.235 2.235 2.235
```

---

Record 13
First-principles (PBE) data for a relaxed ZnNi3 crystal, as listed in the Alexandria database.

Energy relative to the elements, meV per atom: -103.1
Space-group type: C2/m (12)
M_tot, μB/f.u.: 0.6

```
4
Lattice="-2.236 -1.183 0.305 0.832 0.064 -4.286 2.092 -3.664 1.112" Properties=species:S:1:pos:R:3 pbc="T T T"
Ni -0.059 -2.450 0.701
Zn -0.738 -1.771 -1.636
Ni 1.426 -3.012 -1.233
Ni 0.676 -4.757 -2.861
```

---

Record 14
First-principles (PBE) data for a relaxed Ac2AlSiPt6 crystal, as listed in the Alexandria database.

Space-group type: C2/m (12)
M_tot, μB/f.u.: 0.0
Uncorrected formation energy, eV/atom: -1.013

```
10
Lattice="6.564 0.262 -0.840 0.249 6.805 -1.003 2.831 2.832 3.991" Properties=species:S:1:pos:R:3 pbc="T T T"
Ac 3.393 6.802 0.769
Pt 6.583 6.604 0.651
Al 0.000 0.000 0.000
Pt 1.333 4.640 -0.241
Pt 8.311 5.258 2.389
Si 3.407 3.533 -0.921
Pt 5.164 5.191 -1.344
Pt 3.061 3.294 1.496
Ac 6.251 3.096 1.379
Pt 4.479 4.707 3.492
```

---

Record 15
First-principles (PBE) data for a relaxed K3Sn2Br7 crystal, as listed in the Alexandria database.

Space-group type: I4/mmm (139)
M_tot, μB/f.u.: 0.0
Uncorrected formation energy, eV/atom: -1.221

```
12
Lattice="5.860 0.000 0.000 0.000 5.860 0.000 -2.930 -2.930 14.119" Properties=species:S:1:pos:R:3 pbc="T T T"
K 2.930 2.930 0.000
Br 0.000 0.000 0.000
Br 2.930 0.000 2.917
Sn 0.000 0.000 3.012
Br 0.000 2.930 2.917
Br 2.930 2.930 8.254
Sn 2.930 2.930 11.107
Br 2.930 0.000 11.202
K 0.000 0.000 9.083
Br 0.000 2.930 11.202
Br 0.000 0.000 5.865
K 2.930 2.930 5.036
```

---

Record 16
First-principles (PBE) data for a relaxed CaTb4S5 crystal, as listed in the Alexandria database.

Space-group type: C2/m (12)
M_tot, μB/f.u.: 0.0
Uncorrected formation energy, eV/atom: -2.034

```
10
Lattice="3.826 0.000 0.874 1.612 6.424 1.757 -0.001 0.012 8.816" Properties=species:S:1:pos:R:3 pbc="T T T"
S 2.009 1.964 8.832
Tb 4.042 3.877 8.744
S 3.429 4.472 2.615
Tb 1.396 2.559 2.703
Tb 2.622 1.338 6.148
S 3.222 0.616 3.519
Tb 2.816 5.098 5.299
S 0.806 3.218 5.286
Ca 0.000 0.000 0.000
S 2.215 5.820 7.928
```

---

Record 17
First-principles (PBE) data for a relaxed Hg2AuCl crystal, as listed in the Alexandria database.

Space-group type: I-4m2 (119)
M_tot, μB/f.u.: 0.0
Uncorrected formation energy, eV/atom: 0.012
Energy above the most stable polymorph in this dataset, eV per atom: 0.137

```
4
Lattice="-4.234 -3.573 4.394 1.003 -5.593 4.210 2.350 6.296 -2.202" Properties=species:S:1:pos:R:3 pbc="T T T"
Cl -1.750 -0.930 3.247
Hg 0.869 -1.940 3.155
Hg 0.000 0.000 0.000
Au -1.615 -4.583 4.302
```

---

Record 18
First-principles (PBE) data for a relaxed Rb3Ga2Ge2 crystal, as listed in the Alexandria database.

Energy relative to the elements, meV per atom: 4.7
Space-group type: Pbcm (57)
M_tot, μB/f.u.: 0.0

```
28
Lattice="7.353 0.000 0.000 0.000 8.866 0.000 0.000 0.000 14.601" Properties=species:S:1:pos:R:3 pbc="T T T"
Ga 4.530 4.238 1.393
Ge 1.676 5.267 10.950
Rb 2.354 2.506 3.650
Ga 4.530 0.195 8.693
Rb 6.522 3.437 8.855
Ge 3.357 2.217 7.300
Ga 2.824 8.671 1.393
Rb 0.831 5.429 5.746
Rb 0.831 5.429 1.554
Ga 2.824 4.629 13.208
Ga 4.530 0.195 13.208
Rb 0.831 7.870 13.046
Rb 4.999 6.939 3.650
Ga 4.530 4.238 5.908
Ge 3.996 6.650 0.000
Ge 3.357 2.217 0.000
Ge 1.676 8.033 3.650
Rb 6.522 0.996 5.746
Rb 4.999 6.360 10.950
Rb 0.831 7.870 8.855
Ge 5.678 3.600 3.650
Rb 6.522 0.996 1.554
Ga 2.824 8.671 5.908
Rb 2.354 1.927 10.950
Ga 2.824 4.629 8.693
Ge 5.678 0.834 10.950
Rb 6.522 3.437 13.046
Ge 3.996 6.650 7.300
```

---

Record 19
First-principles (PBE) data for a relaxed AgTePt crystal, as listed in the Alexandria database.

Space-group type: I4mm (107)
M_tot, μB/f.u.: 0.0
Uncorrected formation energy, eV/atom: 0.068
Energy above the most stable polymorph in this dataset, eV per atom: 0.152

```
3
Lattice="5.323 0.020 -0.014 2.701 4.587 0.014 -4.005 -2.316 2.633" Properties=species:S:1:pos:R:3 pbc="T T T"
Te 5.665 3.253 0.000
Pt 2.388 1.371 0.000
Ag 7.996 4.591 0.000
```

---

Record 20
First-principles (PBE) data for a relaxed La3RuAu crystal, as listed in the Alexandria database.

Energy relative to the elements, meV per atom: -483.5
Space-group type: P2_1/c (14)
M_tot, μB/f.u.: 0.0
Energy above the most stable polymorph in this dataset, eV per atom: 0.004

```
20
Lattice="-0.141 -5.500 4.984 6.773 2.465 2.913 -7.326 5.022 5.334" Properties=species:S:1:pos:R:3 pbc="T T T"
La -0.750 -0.182 3.367
La 0.310 -2.396 6.484
Ru -0.028 -3.514 3.883
Ru -0.377 2.286 4.745
La -2.277 0.796 6.559
Au -4.924 1.804 5.135
La 1.854 -1.336 9.599
La -5.126 2.656 8.351
La 4.707 -3.018 7.645
La -1.005 4.382 6.747
Ru -0.667 5.501 9.348
Au -2.834 0.944 9.775
La 0.055 2.169 9.863
La -2.548 3.323 3.631
Au 2.139 1.043 3.456
La 1.583 1.190 6.672
Ru -0.318 -0.299 8.485
La 4.431 -0.669 4.880
Au 4.229 0.183 8.095
La -5.402 5.004 5.585
```

---

Record 21
First-principles (PBE) data for a relaxed CaLa7Er3 crystal, as listed in the Alexandria database.

Energy relative to the elements, meV per atom: 226.5
Space-group type: C2/m (12)
M_tot, μB/f.u.: 0.0

```
11
Lattice="-5.116 -2.540 3.408 4.149 -6.676 0.225 4.198 1.587 6.457" Properties=species:S:1:pos:R:3 pbc="T T T"
Er 4.190 0.232 5.436
La 0.901 -1.701 2.249
La 4.174 -2.545 3.341
La -1.735 -1.655 5.297
La 4.967 -5.975 4.794
La 4.984 -3.005 7.034
La 2.330 -5.928 7.842
Er 4.157 -5.322 1.247
Ca 1.616 -3.815 5.045
La -1.753 -4.625 3.057
Er -2.558 -1.270 1.704
```

---

Record 22
First-principles (PBE) data for a relaxed Mg8Hg2Bi crystal, as listed in the Alexandria database.

Energy relative to the elements, meV per atom: -110.6
Space-group type: Immm (71)
M_tot, μB/f.u.: 0.0
Energy above the most stable polymorph in this dataset, eV per atom: 0.018

```
11
Lattice="-0.091 -4.598 1.028 7.010 -0.806 -2.982 -0.598 4.066 7.334" Properties=species:S:1:pos:R:3 pbc="T T T"
Bi -0.046 -2.299 0.514
Mg 2.873 -2.079 1.759
Mg 0.900 0.429 2.001
Mg 5.924 -2.430 0.461
Hg 1.754 -1.441 4.512
Mg 4.184 -1.092 6.288
Mg 5.420 -1.767 3.379
Hg 4.567 0.103 0.868
Mg 0.396 1.092 4.919
Mg 2.136 -0.246 -0.908
Mg 3.447 0.741 3.621
```

---

Record 23
First-principles (PBE) data for a relaxed Pr3Dy2Ho6Mg crystal, as listed in the Alexandria database.

Energy relative to the elements, meV per atom: 35.6
Space-group type: C2/m (12)
M_tot, μB/f.u.: 0.0

```
12
Lattice="-4.089 1.849 -4.238 -1.227 -4.899 3.548 -3.193 7.935 8.052" Properties=species:S:1:pos:R:3 pbc="T T T"
Pr -4.255 2.443 3.681
Dy -2.182 -2.647 0.950
Ho -2.566 2.305 0.500
Ho -3.752 5.226 5.909
Ho -6.895 4.824 4.274
Ho -5.944 2.580 6.862
Dy -3.134 -0.403 -1.639
Mg 0.000 0.000 0.000
Ho -1.615 0.062 3.088
Pr -5.211 4.699 1.078
Pr -3.298 0.187 6.284
Ho -4.758 -0.341 1.453
```

---

no.,calculated total energy (eV per cell)
1,-80.97
2,-21.90
3,-12.80
4,-17.36
5,-94.43
6,-24.76
7,-113.90
8,-50.54
9,-12.15
10,-11.99
11,-36.15
12,-29.51
13,-19.03
14,-63.76
15,-37.66
16,-61.50
17,-5.68
18,-72.63
19,-11.83
20,-119.01
21,-47.69
22,-18.46
23,-52.18